Entry 1:
VASP calculation (PBE-GGA) on a relaxed structure of ReNiTe2.

Properties
The raw formation energy is 523 meV per atom. The relative energy among the computed polymorphs is 418 meV/atom. The crystal system is tetragonal. Its space-group type is P4/mmm (123). For the magnetization, the calculation gives 0.0 μB/cell. The density of states at the Fermi level comes out at 0.72 states/eV per atom. The calculated total energy comes out at -22.420 eV per cell.

a b c (Å): 3.296 3.296 6.683
angles (deg): 90.00 90.00 90.00
Fractional coordinates of all 4 atoms:
Re: 0.000 0.000 0.000
Ni: 0.000 0.000 0.500
Te: 0.500 0.500 0.252
Te: 0.500 0.500 0.748

***

Entry 2:
VASP calculation (PBE-GGA) on a relaxed structure of CsPa2IrO8.

Properties
The raw formation energy is -2307 meV per atom. The crystal system is monoclinic. Its space-group type is C2/m (12). For the magnetization, the calculation gives 2.1 μB/cell. The density of states at the Fermi level comes out at 0.38 states/eV per atom. The calculated total energy comes out at -96.053 eV per cell.

a b c (Å): 5.657 5.657 7.748
angles (deg): 100.90 100.90 72.56
Fractional coordinates of all 12 atoms:
Cs: 0.000 0.000 0.000
Pa: 0.432 0.432 0.764
Pa: 0.568 0.568 0.236
Ir: 0.000 0.000 0.500
O: 0.187 0.754 0.663
O: 0.215 0.215 0.615
O: 0.246 0.813 0.337
O: 0.366 0.366 0.021
O: 0.634 0.634 0.979
O: 0.754 0.187 0.663
O: 0.785 0.785 0.385
O: 0.813 0.246 0.337

***

Entry 3:
VASP calculation (PBE-GGA) on a relaxed structure of MgSbP2Cl.

Properties
The raw formation energy is 348 meV per atom. The relative energy among the computed polymorphs is 0 meV/atom. The crystal system is tetragonal. Its space-group type is P4/mmm (123). For the magnetization, the calculation gives 0.0 μB/cell. The density of states at the Fermi level comes out at 0.75 states/eV per atom. The calculated total energy comes out at -16.646 eV per cell.

a b c (Å): 4.991 4.991 4.583
angles (deg): 90.00 90.00 90.00
Fractional coordinates of all 5 atoms:
Mg: 0.000 0.000 0.000
Sb: 0.500 0.500 0.500
P: 0.000 0.500 0.000
P: 0.500 0.000 0.000
Cl: 0.000 0.000 0.500

***

Entry 4:
VASP calculation (PBE-GGA) on a relaxed structure of AcYTmGa.

Properties
Its calculated formation energy is 0.069 eV per atom. The crystal system is cubic. Its space-group type is F-43m (216). For the magnetization, the calculation gives 3.5 μB/cell. The density of states at the Fermi level comes out at 1.82 states/eV per atom. The calculated total energy comes out at -71.184 eV per cell.

a b c (Å): 7.740 7.740 7.740
angles (deg): 90.00 90.00 90.00
Fractional coordinates of all 16 atoms:
Ac: 0.000 0.000 0.000
Ac: 0.000 0.500 0.500
Ac: 0.500 0.000 0.500
Ac: 0.500 0.500 0.000
Y: 0.250 0.250 0.750
Y: 0.250 0.750 0.250
Y: 0.750 0.250 0.250
Y: 0.750 0.750 0.750
Tm: 0.250 0.250 0.250
Tm: 0.250 0.750 0.750
Tm: 0.750 0.250 0.750
Tm: 0.750 0.750 0.250
Ga: 0.000 0.000 0.500
Ga: 0.000 0.500 0.000
Ga: 0.500 0.000 0.000
Ga: 0.500 0.500 0.500

***

Entry 5:
VASP calculation (PBE-GGA) on a relaxed structure of TcAgPS2.

Properties
The raw formation energy is 1389 meV per atom. The relative energy among the computed polymorphs is 900 meV/atom. The crystal system is tetragonal. Its space-group type is P4/mmm (123). For the magnetization, the calculation gives 3.4 μB/cell. The density of states at the Fermi level comes out at 0.87 states/eV per atom. The calculated total energy comes out at -19.937 eV per cell.

a b c (Å): 4.827 4.827 4.733
angles (deg): 90.00 90.00 90.00
Fractional coordinates of all 5 atoms:
Tc: 0.000 0.000 0.000
Ag: 0.500 0.500 0.500
P: 0.500 0.500 0.000
S: 0.000 0.500 0.500
S: 0.500 0.000 0.500

***

Entry 6:
VASP calculation (PBE-GGA) on a relaxed structure of Cu3NiPd3.

Properties
The relative energy among the computed polymorphs is 39 meV/atom. Its calculated formation energy is 0.129 eV per atom. The crystal system is trigonal. Its space-group type is R-3 (148). For the magnetization, the calculation gives 1.7 μB/cell. The density of states at the Fermi level comes out at 1.10 states/eV per atom. The calculated total energy comes out at -65.493 eV per cell.

a b c (Å): 7.551 7.551 7.551
angles (deg): 45.20 45.20 45.20
Fractional coordinates of all 14 atoms:
Cu: 0.065 0.761 0.587
Cu: 0.239 0.413 0.935
Cu: 0.413 0.935 0.239
Cu: 0.587 0.065 0.761
Cu: 0.761 0.587 0.065
Cu: 0.935 0.239 0.413
Ni: 0.298 0.298 0.298
Ni: 0.702 0.702 0.702
Pd: 0.156 0.280 0.735
Pd: 0.265 0.844 0.720
Pd: 0.280 0.735 0.156
Pd: 0.720 0.265 0.844
Pd: 0.735 0.156 0.280
Pd: 0.844 0.720 0.265

***

Entry 7:
VASP calculation (PBE-GGA) on a relaxed structure of NiGeHIr2.

Properties
The relative energy among the computed polymorphs is 268 meV/atom. The crystal system is tetragonal. Its space-group type is P4/mmm (123). For the magnetization, the calculation gives 0.0 μB/cell. The density of states at the Fermi level comes out at 1.08 states/eV per atom. The calculated total energy comes out at -30.242 eV per cell.

a b c (Å): 3.867 3.867 3.931
angles (deg): 90.00 90.00 90.00
Fractional coordinates of all 5 atoms:
Ni: 0.000 0.000 0.000
Ge: 0.500 0.500 0.000
H: 0.500 0.500 0.500
Ir: 0.000 0.500 0.500
Ir: 0.500 0.000 0.500

***

Entry 8:
VASP calculation (PBE-GGA) on a relaxed structure of La3Tl.

Properties
The relative energy among the computed polymorphs is 54 meV/atom. Its calculated formation energy is -0.190 eV per atom. The crystal system is orthorhombic. Its space-group type is Pnma (62). For the magnetization, the calculation gives 0.0 μB/cell. The density of states at the Fermi level comes out at 1.30 states/eV per atom. The calculated total energy comes out at -71.632 eV per cell.

a b c (Å): 6.659 11.540 7.012
angles (deg): 90.00 90.00 90.00
Fractional coordinates of all 16 atoms:
La: 0.036 0.250 0.135
La: 0.221 0.532 0.390
La: 0.221 0.968 0.390
La: 0.279 0.032 0.890
La: 0.279 0.468 0.890
La: 0.464 0.750 0.635
La: 0.536 0.250 0.365
La: 0.721 0.532 0.110
La: 0.721 0.968 0.110
La: 0.779 0.032 0.610
La: 0.779 0.468 0.610
La: 0.964 0.750 0.865
Tl: 0.103 0.250 0.619
Tl: 0.397 0.750 0.119
Tl: 0.603 0.250 0.881
Tl: 0.897 0.750 0.381

***

Entry 9:
VASP calculation (PBE-GGA) on a relaxed structure of Ac3Al2Cu4Ge2.

Properties
Its calculated formation energy is -0.364 eV per atom. The crystal system is trigonal. Its space-group type is P-3m1 (164). For the magnetization, the calculation gives 0.0 μB/cell. The density of states at the Fermi level comes out at 0.70 states/eV per atom. The calculated total energy comes out at -49.438 eV per cell.

a b c (Å): 4.324 4.324 15.853
angles (deg): 90.00 90.00 120.00
Fractional coordinates of all 11 atoms:
Ac: 0.000 0.000 0.000
Ac: 0.000 0.000 0.280
Ac: 0.000 0.000 0.720
Al: 0.333 0.667 0.558
Al: 0.667 0.333 0.442
Cu: 0.333 0.667 0.406
Cu: 0.333 0.667 0.859
Cu: 0.667 0.333 0.141
Cu: 0.667 0.333 0.594
Ge: 0.333 0.667 0.138
Ge: 0.667 0.333 0.862

***

Question: Which value of magnetization does entry 7 give?
Answer: 0.0 μB/cell

***

Please write out number 4 again, unchanged.
VASP calculation (PBE-GGA) on a relaxed structure of AcYTmGa.

Properties
Its calculated formation energy is 0.069 eV per atom. The crystal system is cubic. Its space-group type is F-43m (216). For the magnetization, the calculation gives 3.5 μB/cell. The density of states at the Fermi level comes out at 1.82 states/eV per atom. The calculated total energy comes out at -71.184 eV per cell.

a b c (Å): 7.740 7.740 7.740
angles (deg): 90.00 90.00 90.00
Fractional coordinates of all 16 atoms:
Ac: 0.000 0.000 0.000
Ac: 0.000 0.500 0.500
Ac: 0.500 0.000 0.500
Ac: 0.500 0.500 0.000
Y: 0.250 0.250 0.750
Y: 0.250 0.750 0.250
Y: 0.750 0.250 0.250
Y: 0.750 0.750 0.750
Tm: 0.250 0.250 0.250
Tm: 0.250 0.750 0.750
Tm: 0.750 0.250 0.750
Tm: 0.750 0.750 0.250
Ga: 0.000 0.000 0.500
Ga: 0.000 0.500 0.000
Ga: 0.500 0.000 0.000
Ga: 0.500 0.500 0.500